DFT (GGA+U) results for a relaxed K2LiMnF6 crystal.

Calculated values
total magnetic moment	2.0	μB/f.u.
electronic total energy	-48.22	eV/cell
ρ	3219	kg/m³

Cell lengths 5.7018, 5.7018, 5.7018 Å; angles 60.00, 60.00, 60.00 degrees
Fractional positions:
K (0.2500, 0.2500, 0.2500)
K (0.7500, 0.7500, 0.7500)
Li (0.0000, 0.0000, 0.0000)
Mn (0.5000, 0.5000, 0.5000)
F (0.2613, 0.2613, 0.7387)
F (0.2613, 0.7387, 0.2613)
F (0.2613, 0.7387, 0.7387)
F (0.7387, 0.2613, 0.2613)
F (0.7387, 0.2613, 0.7387)
F (0.7387, 0.7387, 0.2613)